Y2FeCu | PBE | optimized geometry

```
data_Y2FeCu
_chemical_formula_sum 'Y4 Fe2 Cu2'
_cell_length_a 11.552
_cell_length_b 3.400
_cell_length_c 4.621
_cell_angle_alpha 90.00
_cell_angle_beta 113.20
_cell_angle_gamma 90.00
_symmetry_space_group_name_H-M 'C 1 m 1'
_symmetry_Int_Tables_number 8
loop_
_symmetry_equiv_pos_as_xyz
'x,y,z'
'x,-y,z'
'x+1/2,y+1/2,z'
'x+1/2,-y+1/2,z'
loop_
_atom_site_label
_atom_site_type_symbol
_atom_site_fract_x
_atom_site_fract_y
_atom_site_fract_z
Y1 Y 0.000 0.000 0.000
Y2 Y 0.213 0.000 0.710
Fe1 Fe 0.270 0.500 0.266
Cu1 Cu 0.439 0.000 0.440
```

- M_tot: 3.3 μB/cell
- DFT total energy: -25.18 eV/f.u.
- Formation energy from the elements: 0.08 eV/atom